# Li7Fe3W2O16 GGA+U optimized geometry
data_Li7Fe3W2O16
_chemical_formula_sum 'Li14 Fe6 W4 O32'
_cell_length_a 10.214
_cell_length_b 5.891
_cell_length_c 9.718
_cell_angle_alpha 90.00
_cell_angle_beta 91.23
_cell_angle_gamma 90.00
_symmetry_space_group_name_H-M 'C 1 m 1'
_symmetry_Int_Tables_number 8
_symmetry_space_group_name_Hall 'C -2y'
loop_
_atom_site_label
_atom_site_fract_x
_atom_site_fract_y
_atom_site_fract_z
_atom_site_occupancy
Li1 0.000 0.000 0.000 1
Li2 0.000 0.000 0.491 1
Li3 0.169 0.500 0.412 1
Li4 0.323 0.000 0.914 1
Li5 0.330 0.500 0.719 1
Li6 0.419 0.242 0.220 1
Fe1 0.086 0.251 0.719 1
Fe2 0.171 0.000 0.224 1
W1 0.163 0.500 0.997 1
W2 0.348 0.000 0.485 1
O1 0.009 0.000 0.807 1
O2 0.011 0.500 0.850 1
O3 0.015 0.000 0.303 1
O4 0.089 0.256 0.095 1
O5 0.154 0.500 0.621 1
O6 0.170 0.000 0.603 1
O7 0.226 0.273 0.850 1
O8 0.254 0.218 0.363 1
O9 0.315 0.000 0.122 1
O10 0.328 0.500 0.073 1
O11 0.420 0.243 0.599 1
O12 0.486 0.000 0.367 1
# Calculated total energy, eV/f.u.: -171.26